DFT (GGA-PBE) results for crystalline P2RuBrO at its relaxed geometry.

Values from the calculation:
- Offset from the most stable computed form: 0.0 meV per atom
- Uncorrected formation energy: 214 meV per atom
- Space group: P4/mmm
- Calculated volume: 85.8 Å³/cell
- Size of the total moment: 0.00 μB/cell
- Final energy: -5.132 eV per atom

CIF file:
```
data_P2RuBrO
_cell_length_a 4.7672
_cell_length_b 4.7672
_cell_length_c 3.7776
_cell_angle_alpha 90.00
_cell_angle_beta 90.00
_cell_angle_gamma 90.00
_symmetry_space_group_name_H-M 'P 1'
_symmetry_Int_Tables_number 1
loop_
_symmetry_equiv_pos_as_xyz
'x,y,z'
loop_
_atom_site_label
_atom_site_fract_x
_atom_site_fract_y
_atom_site_fract_z
_atom_site_occupancy
P1 0.0000 0.5000 0.0000 1
P2 0.5000 0.0000 0.0000 1
O1 0.0000 0.0000 0.5000 1
Ru1 0.0000 0.0000 0.0000 1
Br1 0.5000 0.5000 0.5000 1
```